The following is a DFT calculation (PBE with a Hubbard U) of CsMo3O9 after structural relaxation. Values from VASP.

Relative energy among the computed polymorphs (meV per atom): 0.0
Calculated volume (A^3/atom): 16.56

```
&SYSTEM
  ibrav = 0, nat = 26, ntyp = 3
/
ATOMIC_SPECIES
Cs 132.91 Cs.upf
Mo 95.94 Mo.upf
O 16.00 O.upf
CELL_PARAMETERS angstrom
8.415 -3.913 0.000
8.415 3.913 0.000
-0.446 0.000 6.539
ATOMIC_POSITIONS angstrom
Cs 3.256 0.000 2.127
Cs 13.128 0.000 4.412
Mo 7.460 2.039 1.506
Mo 8.924 2.039 5.032
Mo 6.227 0.000 5.613
Mo 10.157 0.000 0.926
Mo 7.460 -2.039 1.506
Mo 8.924 -2.039 5.032
O 0.194 0.000 5.200
O 5.778 2.072 1.861
O 6.789 1.856 5.950
O 8.192 2.018 3.269
O 4.645 0.000 6.322
O 9.595 1.856 0.589
O 5.917 0.000 3.909
O 10.606 2.072 4.678
O 7.757 0.000 1.248
O 8.627 0.000 5.291
O 5.778 -2.072 1.861
O 10.467 0.000 2.629
O 6.789 -1.856 5.950
O 11.739 0.000 0.216
O 8.192 -2.018 3.269
O 9.595 -1.856 0.589
O 10.606 -2.072 4.678
O 16.190 0.000 1.339
```